This record from the Alexandria database describes Y2AlNiO6 after structural relaxation. The functional is PBE+U. Values from VASP.

```
&SYSTEM
  ibrav = 0, nat = 20, ntyp = 4
/
ATOMIC_SPECIES
Y 88.91 Y.upf
Al 26.98 Al.upf
Ni 58.69 Ni.upf
O 16.00 O.upf
ATOMIC_POSITIONS crystal
Y 0.232 0.067 0.249
Y 0.232 0.433 0.749
Y 0.768 0.567 0.251
Y 0.768 0.933 0.751
Al 0.500 0.000 0.000
Al 0.500 0.500 0.500
Ni 0.000 0.000 0.500
Ni 0.000 0.500 0.000
O 0.157 0.189 0.950
O 0.157 0.311 0.450
O 0.256 0.703 0.949
O 0.256 0.797 0.449
O 0.353 0.030 0.754
O 0.353 0.470 0.254
O 0.647 0.530 0.746
O 0.647 0.970 0.246
O 0.744 0.203 0.551
O 0.744 0.297 0.051
O 0.843 0.689 0.550
O 0.843 0.811 0.050
CELL_PARAMETERS angstrom
5.247 0.000 0.000
0.000 5.554 0.000
-5.214 0.000 7.467
```

For the magnetization, the calculation gives 6.0 μB/cell. Its uncorrected energy is -7.569 eV per atom. For the theoretical density, the calculation gives 5.49 g/cm3.